Record 1
DFT (PBE-GGA) results for a relaxed ScB6 crystal.

Output
energy of formation	0.085	eV/atom
E	-45.80	eV/f.u.
space-group type	Im-3m (229)
mass density	3.05	g/cm3

Cell and atoms, written as POSCAR:
```
ScB6
1.0
4.269 0.000 0.000
-1.423 4.024 0.000
-1.423 -2.012 3.485
Sc B
1 6
direct
0.000 0.000 0.000
0.250 0.750 0.500
0.500 0.750 0.250
0.250 0.500 0.750
0.750 0.250 0.500
0.500 0.250 0.750
0.750 0.500 0.250
```

---

Record 2
DFT (PBE-GGA) results for a relaxed Sc2BSe crystal.

Output
E	-24.95	eV/f.u.
excess energy over the best structure of this formula in the dataset	0.000	eV/atom
formation energy (no corrections)	-530.9	meV/atom
space-group type	I-42d (122)
mass density	4.02	g/cm3

Cell and atoms, written as POSCAR:
```
Sc2BSe
1.0
6.679 0.000 0.000
0.000 6.679 0.000
3.339 3.339 3.328
Sc B Se
4 2 2
direct
0.579 0.125 0.250
0.171 0.625 0.250
0.375 0.421 0.750
0.875 0.829 0.750
0.500 0.500 0.000
0.250 0.750 0.500
0.000 0.000 0.000
0.750 0.250 0.500
```

---

Record 3
DFT (PBE-GGA) results for a relaxed ScB2Se crystal.

Output
E	-21.37	eV/f.u.
formation energy (no corrections)	451.5	meV/atom
space-group type	I-42d (122)
mass density	4.27	g/cm3

Cell and atoms, written as POSCAR:
```
ScB2Se
1.0
-5.859 0.761 0.651
-1.001 -4.415 -3.852
-3.435 -3.934 0.815
Sc B Se
2 4 2
direct
0.500 0.500 0.000
0.250 0.750 0.500
0.679 0.125 0.250
0.071 0.625 0.250
0.375 0.321 0.750
0.875 0.929 0.750
0.000 0.000 0.000
0.750 0.250 0.500
```

---

Record 4
DFT (PBE-GGA) results for a relaxed ScBSe3 crystal.

Output
E	-20.86	eV/f.u.
excess energy over the best structure of this formula in the dataset	0.534	eV/atom
formation energy (no corrections)	520.3	meV/atom
space-group type	Pm-3m (221)
mass density	3.55	g/cm3

Cell and atoms, written as POSCAR:
```
ScBSe3
1.0
5.155 0.000 0.000
0.000 5.155 0.000
0.000 0.000 5.155
Sc B Se
1 1 3
direct
0.000 0.000 0.000
0.500 0.500 0.500
0.000 0.500 0.000
0.000 0.000 0.500
0.500 0.000 0.000
```